Compound: TbMg2Cu6
Source: Alexandria via LeMat-Bulk
Functional: PBE-GGA
Structure: relaxed

Computed properties:
**E_form**: -27.0 kJ/mol of formula units
**Space group**: Immm

```
data_TbMg2Cu6
_space_group_name_H-M_alt 'P 1'
_space_group_IT_number 1
_space_group_name_Hall 'P 1'
_cell_length_a 3.225
_cell_length_b 7.493
_cell_length_c 7.493
_cell_angle_alpha 57.21
_cell_angle_beta 77.57
_cell_angle_gamma 77.57
loop_
_atom_site_label
_atom_site_fract_x
_atom_site_fract_y
_atom_site_fract_z
_atom_site_occupancy
Tb1 0.000 0.000 0.000 1
Mg1 0.859 0.641 0.641 1
Mg2 0.141 0.359 0.359 1
Cu1 0.678 0.005 0.639 1
Cu2 0.322 0.995 0.361 1
Cu3 0.322 0.361 0.995 1
Cu4 0.500 0.671 0.329 1
Cu5 0.500 0.329 0.671 1
Cu6 0.678 0.639 0.005 1
```